NaMoIO2, optimized geometry, DFT PBE+U; space-group type = P4/mmm (123); theoretical density = 4.6 Mg/m³; M_tot = 0.400 μB per atom; calculated total energy = -5.04 eV per atom
1.0
4.0322 0.0000 0.0000
0.0000 4.0322 0.0000
0.0000 0.0000 6.2328
Na Mo I O
1 1 1 2
direct
0.0000 0.0000 0.0000 Na
0.5000 0.5000 0.5000 Mo
0.5000 0.5000 0.0000 I
0.0000 0.5000 0.5000 O
0.5000 0.0000 0.5000 O